Material: Si2BiPPd
Method: DFT, GGA-PBEsol
State: optimized geometry

abc: 4.4657 4.4657 5.6855
angles: 90.00 90.00 90.00
Closest atoms and distances in Å follow each position.
Space group P4/mmm (No. 123)
Symmetry-distinct sites (fractional):
Si (0.0000, 0.5000, 0.0000)  2 Pd 2.23
Bi (0.0000, 0.0000, 0.5000)  2 Pd 2.84, 4 P 3.16
P (0.5000, 0.5000, 0.5000)  4 Bi 3.16
Pd (0.0000, 0.0000, 0.0000)  4 Si 2.23

Properties
E_form (uncorrected)   557 meV/atom
Volume   113.4 Å³/f.u.

Material: BiP2PtS
Method: DFT, GGA-PBEsol
State: optimized geometry

abc: 4.5846 4.5846 4.9243
angles: 90.00 90.00 90.00
Closest atoms and distances in Å follow each position.
Space group P4/mmm (No. 123)
Symmetry-distinct sites (fractional):
Bi (0.0000, 0.0000, 0.0000)  4 S 3.24, 8 P 3.36
P (0.0000, 0.5000, 0.5000)  2 Pt 2.29
Pt (0.5000, 0.5000, 0.5000)  4 P 2.29, 2 S 2.46
S (0.5000, 0.5000, 0.0000)  2 Pt 2.46

Properties
E_form (uncorrected)   426 meV/atom
Volume   103.5 Å³/f.u.

Material: Rb2Bi2P
Method: DFT, GGA-PBEsol
State: optimized geometry

abc: 7.6230 7.6230 5.9146
angles: 90.00 90.00 90.00
Closest atoms and distances in Å follow each position.
Space group P4/mbm (No. 127)
Symmetry-distinct sites (fractional):
Rb (0.1734, 0.3266, 0.0000)  6 Bi 3.56-3.82, 5 Rb 3.74-3.99
Bi (0.1426, 0.6426, 0.5000)  2 P 2.93, 1 Bi 3.07
P (0.0000, 0.0000, 0.5000)  4 Bi 2.93

Properties
Formation enthalpy at 0 K   -0.08 eV/atom
Volume   171.8 Å³/f.u.

Material: RbZn2BiP
Method: DFT, GGA-PBEsol
State: optimized geometry

abc: 5.6708 5.6708 6.7073
angles: 90.00 90.00 90.00
Closest atoms and distances in Å follow each position.
Space group P4/mmm (No. 123)
Symmetry-distinct sites (fractional):
Rb (0.0000, 0.0000, 0.0000)  4 Zn 2.84
Zn (0.0000, 0.5000, 0.0000)  2 Rb 2.84
Bi (0.0000, 0.0000, 0.5000)  2 Rb 3.35
P (0.5000, 0.5000, 0.5000)  4 Bi 4.01, 8 Zn 4.39

Properties
Formation enthalpy at 0 K   1.58 eV/atom
Volume   215.7 Å³/f.u.

Material: Re2BiP
Method: DFT, GGA-PBEsol
State: optimized geometry

abc: 4.3596 4.3596 16.3589
angles: 90.00 90.00 90.00
Closest atoms and distances in Å follow each position.
Space group I-42d (No. 122)
Symmetry-distinct sites (fractional):
Re (0.1486, 0.2500, 0.1250)  2 P 2.41, 2 Re 2.54
Bi (0.0000, 0.0000, 0.5000)  4 Re 2.78, 4 P 3.08
P (0.0000, 0.0000, 0.0000)  4 Re 2.41

Properties
Formation enthalpy at 0 K   0.71 eV/atom
Volume   77.7 Å³/f.u.

Material: ScReBi2P
Method: DFT, GGA-PBEsol
State: optimized geometry

abc: 5.1560 5.1560 5.0005
angles: 90.00 90.00 90.00
Closest atoms and distances in Å follow each position.
Space group P4/mmm (No. 123)
Symmetry-distinct sites (fractional):
Sc (0.0000, 0.0000, 0.0000)  2 Re 2.50
Re (0.0000, 0.0000, 0.5000)  2 Sc 2.50, 4 Bi 2.58
Bi (0.0000, 0.5000, 0.5000)  2 Re 2.58
P (0.5000, 0.5000, 0.0000)  8 Bi 3.59, 4 Sc 3.65

Properties
Formation enthalpy at 0 K   0.68 eV/atom
Volume   132.9 Å³/f.u.

Material: Bi3PRh
Method: DFT, GGA-PBEsol
State: optimized geometry

abc: 5.1868 5.1868 5.1868
angles: 90.00 90.00 90.00
Closest atoms and distances in Å follow each position.
Space group Pm-3m (No. 221)
Symmetry-distinct sites (fractional):
Bi (0.0000, 0.0000, 0.5000)  2 Rh 2.59
P (0.5000, 0.5000, 0.5000)  12 Bi 3.67
Rh (0.0000, 0.0000, 0.0000)  6 Bi 2.59

Properties
Formation enthalpy at 0 K   0.61 eV/atom
Volume   139.5 Å³/f.u.

Material: BiPRuS2
Method: DFT, GGA-PBEsol
State: optimized geometry

abc: 5.0803 5.0803 5.0934
angles: 90.00 90.00 90.00
Closest atoms and distances in Å follow each position.
Space group P4/mmm (No. 123)
Symmetry-distinct sites (fractional):
Bi (0.0000, 0.0000, 0.0000)  4 S 2.54, 2 P 2.55
P (0.0000, 0.0000, 0.5000)  2 Bi 2.55
Ru (0.5000, 0.5000, 0.5000)  4 P 3.59, 8 S 3.60
S (0.0000, 0.5000, 0.0000)  2 Bi 2.54

Properties
E_form (uncorrected)   1703 meV/atom
Volume   131.5 Å³/f.u.

Material: BiPS2
Method: DFT, GGA-PBEsol
State: optimized geometry

abc: 4.9075 4.9075 15.3998
angles: 90.00 90.00 90.00
Closest atoms and distances in Å follow each position.
Space group I-42d (No. 122)
Symmetry-distinct sites (fractional):
Bi (0.0000, 0.0000, 0.0000)  4 S 2.73
P (0.0000, 0.0000, 0.5000)  4 S 2.47
S (0.1931, 0.2500, 0.6250)  2 P 2.47, 2 Bi 2.73

Properties
E_form (uncorrected)   241 meV/atom
Volume   92.7 Å³/f.u.

Material: BiP2SeS
Method: DFT, GGA-PBEsol
State: optimized geometry

abc: 4.7173 4.7173 4.7863
angles: 90.00 90.00 90.00
Closest atoms and distances in Å follow each position.
Space group P4/mmm (No. 123)
Symmetry-distinct sites (fractional):
Bi (0.0000, 0.0000, 0.0000)  4 S 3.34, 8 P 3.36
P (0.0000, 0.5000, 0.5000)  2 Se 2.36
Se (0.5000, 0.5000, 0.5000)  4 P 2.36, 2 S 2.39
S (0.5000, 0.5000, 0.0000)  2 Se 2.39

Properties
E_form (uncorrected)   661 meV/atom
Volume   106.5 Å³/f.u.

Material: Bi2PSeS
Method: DFT, GGA-PBEsol
State: optimized geometry

abc: 5.5361 5.5361 4.5048
angles: 90.00 90.00 90.00
Closest atoms and distances in Å follow each position.
Space group P4/mmm (No. 123)
Symmetry-distinct sites (fractional):
Bi (0.0000, 0.5000, 0.0000)  2 Se 2.77
P (0.0000, 0.0000, 0.5000)  2 Se 2.25
Se (0.0000, 0.0000, 0.0000)  2 P 2.25
S (0.5000, 0.5000, 0.5000)  8 Bi 3.57, 4 P 3.91

Properties
E_form (uncorrected)   868 meV/atom
Volume   138.1 Å³/f.u.

Material: TlBiP2S7
Method: DFT, GGA-PBEsol
State: optimized geometry

abc: 9.4414 12.1974 8.9844
angles: 90.00 90.21 90.00
Closest atoms and distances in Å follow each position.
Space group P2_1/c (No. 14)
Symmetry-distinct sites (fractional):
Tl (0.1137, 0.1891, 0.1190)  8 S 3.18-3.40
Bi (0.3468, 0.6382, 0.6125)  7 S 2.79-2.99
P (0.2212, 0.6030, 0.9773)  4 S 2.03-2.13
P (0.3158, 0.0386, 0.7996)  4 S 2.02-2.12
S (0.1183, 0.7083, 0.1141)  1 P 2.03
S (0.1211, 0.5534, 0.7893)  1 P 2.03
S (0.1584, 0.5268, 0.4264)  1 P 2.04
S (0.2471, 0.0544, 0.5756)  2 P 2.12-2.13
S (0.3480, 0.1978, 0.8523)  1 P 2.02
S (0.4101, 0.6724, 0.9241)  1 P 2.03
S (0.4913, 0.5574, 0.3158)  1 P 2.03

Properties
E_form (uncorrected)   -339 meV/atom
Volume   258.7 Å³/f.u.